Record 1
This record from the Alexandria database describes CeNpNiIr after structural relaxation. The functional is PBE.

Summary:
* electronic total energy: -8.726 eV/atom
* formation energy: -1.388 eV per formula unit
* magnetization: 11.4 Bohr magnetons per cell

Lattice parameters (Å, degrees): 6.5304 6.5304 6.5304 90.00 90.00 90.00
Space group F-43m (No. 216)
Inequivalent atoms, fractional coordinates:
Ce (0.0000, 0.0000, 0.0000) (multiplicity 4)
Np (0.2500, 0.2500, 0.2500) (multiplicity 4)
Ni (0.2500, 0.2500, 0.7500) (multiplicity 4)
Ir (0.0000, 0.0000, 0.5000) (multiplicity 4)

Record 2
This record from the Alexandria database describes Ce2Ni4P3Ir after structural relaxation. The functional is PBE.

Summary:
* electronic total energy: -6.844 eV/atom
* formation energy: -8.357 eV per formula unit
* magnetization: 0.0 Bohr magnetons per cell

Lattice parameters (Å, degrees): 3.8678 3.8678 10.0245 90.00 90.00 90.00
Space group P-4m2 (No. 115)
Inequivalent atoms, fractional coordinates:
Ce (0.0000, 0.5000, 0.2488) (multiplicity 2)
Ni (0.0000, 0.0000, 0.5000) (multiplicity 1)
Ni (0.0000, 0.5000, 0.8410) (multiplicity 2)
Ni (0.5000, 0.5000, 0.5000) (multiplicity 1)
P (0.0000, 0.0000, 0.0000) (multiplicity 1)
P (0.0000, 0.5000, 0.6212) (multiplicity 2)
Ir (0.5000, 0.5000, 0.0000) (multiplicity 1)

Record 3
This record from the Alexandria database describes Ce2Ni12P3Ir after structural relaxation. The functional is PBE.

Summary:
* electronic total energy: -5.999 eV/atom
* formation energy: -1.649 eV per formula unit
* magnetization: 0.0 Bohr magnetons per cell

Lattice parameters (Å, degrees): 7.8681 7.8681 15.3525 90.00 90.00 120.00
Space group R-3m (No. 166, hexagonal axes)
Inequivalent atoms, fractional coordinates:
Ce (0.0000, 0.0000, 0.1264) (multiplicity 6)
Ni (0.0174, 0.5087, 0.8622) (multiplicity 18)
Ni (0.0476, 0.5238, 0.2987) (multiplicity 18)
P (0.0000, 0.5000, 0.0000) (multiplicity 9)
Ir (0.0000, 0.0000, 0.5000) (multiplicity 3)